No. 1
{
  "formula": "BeCo2Os",
  "functional": "PBE",
  "state": "optimized geometry",
  "formation_enthalpy_0k_ev_per_atom": 0.04,
  "dos_ef_per_ev_atom": 1.04,
  "lattice": [[4.671, 0.009, -0.002], [2.127, 4.158, 0.002], [-2.899, -2.899, 2.238]],
  "species": ["Os", "Co", "Be", "Co"],
  "fractional_positions": [[0.479, 0.479, 0.000], [0.752, 0.252, 0.500], [0.239, 0.739, 0.500], [0.030, 0.030, 0.000]]
}

=====

No. 2
{
  "formula": "ZnCd3As",
  "functional": "PBE",
  "state": "optimized geometry",
  "formation_enthalpy_0k_ev_per_atom": 0.37,
  "dos_ef_per_ev_atom": 0.42,
  "polymorph_energy_kcal_per_mol_atoms": 0.00,
  "lattice": [[-4.030, -3.318, 1.249], [2.622, -4.062, -2.330], [2.386, -1.139, 4.671]],
  "species": ["Cd", "Cd", "As", "Zn", "Cd"],
  "fractional_positions": [[0.000, 0.500, 0.000], [0.000, 0.000, 0.500], [0.000, 0.000, 0.000], [0.500, 0.500, 0.500], [0.500, 0.000, 0.000]]
}

=====

No. 3
{
  "formula": "Li2TmAgAu2",
  "functional": "PBE",
  "state": "optimized geometry",
  "formation_enthalpy_0k_ev_per_atom": -0.54,
  "dos_ef_per_ev_atom": 0.59,
  "lattice": [[-4.233, -0.071, -1.585], [1.600, -3.527, 2.333], [-2.033, 2.593, 5.313]],
  "species": ["Li", "Ag", "Li", "Tm", "Au", "Au"],
  "fractional_positions": [[0.333, 0.667, 0.657], [0.000, 0.000, 0.500], [0.667, 0.333, 0.343], [0.000, 0.000, 0.000], [0.667, 0.333, 0.770], [0.333, 0.667, 0.230]]
}

=====

No. 4
{
  "formula": "Sc3SeI7",
  "functional": "PBE",
  "state": "optimized geometry",
  "raw_formation_energy_mev_per_atom": -1292.6,
  "dos_ef_per_ev_atom": 0.00,
  "lattice": [[-1.068, -7.184, 1.415], [5.586, -1.960, -5.731], [2.350, 1.188, 7.807]],
  "species": ["I", "I", "I", "Sc", "Se", "I", "Sc", "Sc", "I", "I", "I"],
  "fractional_positions": [[0.008, 0.667, 0.333], [0.011, 0.663, 0.831], [0.557, 0.831, 0.661], [0.773, 0.019, 0.509], [0.585, 0.333, 0.667], [0.011, 0.169, 0.831], [0.773, 0.491, 0.981], [0.773, 0.491, 0.509], [0.557, 0.831, 0.169], [0.011, 0.169, 0.337], [0.557, 0.339, 0.169]]
}

=====

No. 5
{
  "formula": "La3TeBr2O6",
  "functional": "PBE",
  "state": "optimized geometry",
  "raw_formation_energy_mev_per_atom": -2079.7,
  "dos_ef_per_ev_atom": 0.19,
  "lattice": [[5.877, 0.000, 0.789], [0.000, 6.923, 0.000], [0.294, -3.462, 6.167]],
  "species": ["Te", "O", "La", "O", "Br", "O", "La", "O", "O", "La", "O", "Br"],
  "fractional_positions": [[0.500, 0.000, 0.000], [0.695, 0.295, 0.115], [0.000, 0.500, 0.000], [0.305, 0.705, 0.885], [0.111, 0.721, 0.441], [0.695, 0.820, 0.115], [0.500, 0.000, 0.500], [0.345, 0.161, 0.322], [0.655, 0.839, 0.678], [0.500, 0.500, 0.500], [0.305, 0.180, 0.885], [0.889, 0.279, 0.559]]
}

=====

No. 6
{
  "formula": "RbSn",
  "functional": "PBE",
  "state": "optimized geometry",
  "formation_enthalpy_0k_ev_per_atom": -0.01,
  "dos_ef_per_ev_atom": 0.78,
  "lattice": [[13.532, 0.000, 0.000], [0.000, 13.532, 0.000], [0.000, 0.000, 3.820]],
  "species": ["Sn", "Rb", "Rb", "Rb", "Sn", "Rb", "Rb", "Sn", "Sn", "Rb", "Sn", "Sn", "Rb", "Sn", "Sn", "Rb"],
  "fractional_positions": [[0.439, 0.360, 0.500], [0.366, 0.831, 0.500], [0.669, 0.866, 0.000], [0.134, 0.669, 0.000], [0.939, 0.860, 0.000], [0.866, 0.331, 0.000], [0.331, 0.134, 0.000], [0.140, 0.939, 0.000], [0.561, 0.640, 0.500], [0.831, 0.634, 0.500], [0.061, 0.140, 0.000], [0.640, 0.439, 0.500], [0.634, 0.169, 0.500], [0.860, 0.061, 0.000], [0.360, 0.561, 0.500], [0.169, 0.366, 0.500]]
}

=====

No. 7
{
  "formula": "K2RbTlSn",
  "functional": "PBE",
  "state": "optimized geometry",
  "formation_enthalpy_0k_ev_per_atom": 0.00,
  "dos_ef_per_ev_atom": 0.66,
  "lattice": [[6.921, 0.000, 0.000], [0.000, 6.921, 0.000], [0.000, 0.000, 5.938]],
  "species": ["K", "K", "Rb", "Tl", "Sn"],
  "fractional_positions": [[0.500, 0.000, 0.000], [0.000, 0.500, 0.000], [0.500, 0.500, 0.500], [0.000, 0.000, 0.500], [0.000, 0.000, 0.000]]
}

=====

No. 8
{
  "formula": "La2TeF3",
  "functional": "PBE",
  "state": "optimized geometry",
  "raw_formation_energy_mev_per_atom": -3198.0,
  "dos_ef_per_ev_atom": 0.46,
  "lattice": [[-1.784, -1.927, 3.247], [-2.079, -4.478, -6.486], [7.416, -1.875, 2.962]],
  "species": ["La", "La", "F", "La", "F", "F", "F", "Te", "F", "F", "La", "Te"],
  "fractional_positions": [[0.475, 0.949, 0.765], [0.525, 0.051, 0.235], [0.062, 0.124, 0.409], [0.800, 0.601, 0.310], [0.308, 0.616, 0.540], [0.605, 0.209, 0.671], [0.692, 0.384, 0.460], [0.863, 0.726, 0.951], [0.938, 0.876, 0.591], [0.395, 0.791, 0.329], [0.200, 0.399, 0.690], [0.137, 0.274, 0.049]]
}

=====

No. 9
{
  "formula": "Tl8AsAu2",
  "functional": "PBE",
  "state": "optimized geometry",
  "formation_enthalpy_0k_ev_per_atom": -0.01,
  "dos_ef_per_ev_atom": 0.43,
  "lattice": [[-1.945, 3.696, -1.081], [-4.849, -0.724, 6.252], [11.264, 3.492, 0.284]],
  "species": ["Au", "As", "Tl", "Tl", "Tl", "Tl", "Tl", "Tl", "Tl", "Au", "Tl"],
  "fractional_positions": [[0.824, 0.383, 0.649], [0.500, 0.000, 0.000], [0.599, 0.704, 0.198], [0.660, 0.320, 0.321], [0.989, 0.736, 0.979], [0.011, 0.264, 0.021], [0.340, 0.680, 0.679], [0.215, 0.105, 0.429], [0.785, 0.895, 0.571], [0.176, 0.617, 0.351], [0.401, 0.296, 0.802]]
}

=====

No. 10
{
  "formula": "VCuBr6",
  "functional": "PBE",
  "state": "optimized geometry",
  "raw_formation_energy_mev_per_atom": -538.7,
  "dos_ef_per_ev_atom": 0.19,
  "lattice": [[-4.640, 1.631, 5.319], [3.654, -6.256, 0.079], [4.830, 4.884, 0.296]],
  "species": ["Br", "Br", "Cu", "V", "Br", "Br", "Br", "Br"],
  "fractional_positions": [[0.618, 0.858, 0.707], [0.911, 0.151, 0.293], [0.000, 0.000, 0.000], [0.500, 0.000, 0.000], [0.382, 0.142, 0.293], [0.689, 0.381, 0.000], [0.089, 0.849, 0.707], [0.311, 0.619, 0.000]]
}

=====

No. 11
{
  "formula": "ZrNi",
  "functional": "PBE",
  "state": "optimized geometry",
  "formation_enthalpy_0k_ev_per_atom": -0.17,
  "dos_ef_per_ev_atom": 0.61,
  "lattice": [[-2.534, 0.972, -2.054], [1.129, -3.210, -0.091], [-4.756, -1.815, 5.008]],
  "species": ["Zr", "Zr", "Ni", "Ni"],
  "fractional_positions": [[0.000, 0.000, 0.000], [0.000, 0.000, 0.500], [0.667, 0.333, 0.750], [0.333, 0.667, 0.250]]
}

=====

No. 12
{
  "formula": "ErThInRu",
  "functional": "PBE",
  "state": "optimized geometry",
  "formation_enthalpy_0k_ev_per_atom": -0.23,
  "dos_ef_per_ev_atom": 0.93,
  "lattice": [[5.156, 0.000, 0.000], [2.578, 4.465, 0.000], [2.578, 1.488, 4.209]],
  "species": ["Th", "Ru", "Er", "In"],
  "fractional_positions": [[0.500, 0.500, 0.500], [0.750, 0.750, 0.750], [0.000, 0.000, 0.000], [0.250, 0.250, 0.250]]
}